# PBE-GGA Zr5Zn2Pb, optimized geometry
data_Zr5Zn2Pb
_cell_length_a 7.3690
_cell_length_b 7.3690
_cell_length_c 12.6243
_cell_angle_alpha 90.00
_cell_angle_beta 90.00
_cell_angle_gamma 90.00
_symmetry_space_group_name_H-M 'I 4/m c m'
_symmetry_Int_Tables_number 140
_symmetry_space_group_name_Hall '-I 4 2c'
loop_
_atom_site_label
_atom_site_type_symbol
_atom_site_fract_x
_atom_site_fract_y
_atom_site_fract_z
Zr1 Zr 0.0000 0.0000 0.0000
Zr2 Zr 0.1548 0.3452 0.1506
Zn1 Zn 0.1364 0.3636 0.5000
Pb1 Pb 0.0000 0.0000 0.2500
# - D(E_F) (states/eV/cell) = 44.096
# - spin magnetization (μB/cell) = 8.5
# - ΔH_f (0 K) (eV per atom) = -0.169